First-principles (GGA-PBE) data for a geometry-optimized SnSBrCl2 structure, as listed in Alexandria.

Computed properties:
Volume (Å³ per atom): 27.7
DFT total energy (eV per formula unit): -13.79
E_form (uncorrected) (eV/atom): -0.06
SG: P4/mmm, No. 123

Lattice parameters (Å, degrees): 5.1381 5.1381 5.2425 90.00 90.00 90.00
Last column: nearest neighbours and their distance in Å.
Sites, in units of the cell vectors:
1 Sn 0.0000 0.0000 0.0000  4 Cl 2.57, 2 S 2.62
2 S 0.0000 0.0000 0.5000  2 Sn 2.62
3 Br 0.5000 0.5000 0.5000  4 S 3.63, 8 Cl 3.67
4 Cl 0.0000 0.5000 0.0000  2 Sn 2.57
5 Cl 0.5000 0.0000 0.0000  2 Sn 2.57


First-principles (GGA-PBE) data for a geometry-optimized TaS2BrCl structure, as listed in Alexandria.

Computed properties:
Volume (Å³ per atom): 23.4
DFT total energy (eV per formula unit): -16.34
E_form (uncorrected) (eV/atom): 1.46
SG: P4/mmm, No. 123

Lattice parameters (Å, degrees): 4.9363 4.9363 4.8020 90.00 90.00 90.00
Last column: nearest neighbours and their distance in Å.
Sites, in units of the cell vectors:
1 Ta 0.0000 0.0000 0.0000  8 S 3.44, 4 Cl 3.49
2 S 0.0000 0.5000 0.5000  2 Br 2.47
3 S 0.5000 0.0000 0.5000  2 Br 2.47
4 Br 0.5000 0.5000 0.5000  2 Cl 2.40, 4 S 2.47
5 Cl 0.5000 0.5000 0.0000  2 Br 2.40


First-principles (GGA-PBE) data for a geometry-optimized TaS2BrCl structure, as listed in Alexandria.

Computed properties:
Volume (Å³ per atom): 23.7
DFT total energy (eV per formula unit): -24.82
E_form (uncorrected) (eV/atom): -0.24
SG: P4/mmm, No. 123

Lattice parameters (Å, degrees): 4.7560 4.7560 5.2474 90.00 90.00 90.00
Last column: nearest neighbours and their distance in Å.
Sites, in units of the cell vectors:
1 Ta 0.0000 0.0000 0.0000  4 S 2.38, 2 Br 2.62
2 S 0.0000 0.5000 0.0000  2 Ta 2.38
3 S 0.5000 0.0000 0.0000  2 Ta 2.38
4 Br 0.0000 0.0000 0.5000  2 Ta 2.62
5 Cl 0.5000 0.5000 0.5000  4 Br 3.36, 8 S 3.54


First-principles (GGA-PBE) data for a geometry-optimized TaS2BrCl structure, as listed in Alexandria.

Computed properties:
Volume (Å³ per atom): 22.6
DFT total energy (eV per formula unit): -25.23
E_form (uncorrected) (eV/atom): -0.32
SG: P4/mmm, No. 123

Lattice parameters (Å, degrees): 4.8054 4.8054 4.9035 90.00 90.00 90.00
Last column: nearest neighbours and their distance in Å.
Sites, in units of the cell vectors:
1 Ta 0.0000 0.0000 0.0000  4 S 2.40, 2 Cl 2.45
2 S 0.0000 0.5000 0.0000  2 Ta 2.40
3 S 0.5000 0.0000 0.0000  2 Ta 2.40
4 Br 0.5000 0.5000 0.5000  4 Cl 3.40, 8 S 3.43
5 Cl 0.0000 0.0000 0.5000  2 Ta 2.45


Which of these has the lowest DFT total energy? number 4


Copy entry 4 word for word.
First-principles (GGA-PBE) data for a geometry-optimized TaS2BrCl structure, as listed in Alexandria.

Computed properties:
Volume (Å³ per atom): 22.6
DFT total energy (eV per formula unit): -25.23
E_form (uncorrected) (eV/atom): -0.32
SG: P4/mmm, No. 123

Lattice parameters (Å, degrees): 4.8054 4.8054 4.9035 90.00 90.00 90.00
Last column: nearest neighbours and their distance in Å.
Sites, in units of the cell vectors:
1 Ta 0.0000 0.0000 0.0000  4 S 2.40, 2 Cl 2.45
2 S 0.0000 0.5000 0.0000  2 Ta 2.40
3 S 0.5000 0.0000 0.0000  2 Ta 2.40
4 Br 0.5000 0.5000 0.5000  4 Cl 3.40, 8 S 3.43
5 Cl 0.0000 0.0000 0.5000  2 Ta 2.45


Look up the DFT total energy of the third one. -24.82 eV per formula unit